No. 1
ZnCu2Rh | SCAN | PBEsol geometry

Space-group type   Cm (8)
M_tot   0.0 Bohr magnetons per cell
Energy relative to the elements   -0.102 eV per atom
Final energy   -78.09 eV/f.u.

Cell lengths 4.7734, 4.7734, 4.2804 Å; angles 113.34, 113.34, 33.96 degrees
Positions (direct):
Zn 0.0000 0.0000 0.0000
Cu 0.2560 0.2560 0.6500
Cu 0.5117 0.5117 0.5127
Rh 0.7545 0.7545 0.1527

No. 2
AgICl2 | SCAN | PBEsol geometry

Space-group type   R-3m (166)
M_tot   0.0 Bohr magnetons per cell
Formation energy (no corrections)   -0.326 eV/atom
Final energy   -85.37 eV/f.u.

Cell lengths 8.1173, 8.1173, 8.1173 Å; angles 29.32, 29.32, 29.32 degrees
Positions (direct):
Ag 0.0000 0.0000 0.0000
I 0.5000 0.5000 0.5000
Cl 0.3897 0.3897 0.3897
Cl 0.6103 0.6103 0.6103

No. 3
RbNa3Pd | SCAN | PBEsol geometry

Space-group type   Pm-3m (221)
M_tot   0.0 Bohr magnetons per cell
Energy relative to the elements   0.031 eV per atom
Final energy   -66.00 eV/f.u.

Cell lengths 5.6415, 5.6415, 5.6415 Å; angles 90.00, 90.00, 90.00 degrees
Positions (direct):
Rb 0.0000 0.0000 0.0000
Na 0.0000 0.5000 0.5000
Na 0.5000 0.0000 0.5000
Na 0.5000 0.5000 0.0000
Pd 0.5000 0.5000 0.5000

No. 4
SrRhCl2 | SCAN | PBEsol geometry

ΔE to the lowest computed polymorph   0.3641 eV per atom
Space-group type   R-3m (166)
M_tot   1.7 Bohr magnetons per cell
Formation energy (no corrections)   -0.652 eV/atom
Final energy   -74.61 eV/f.u.

Cell lengths 8.0934, 8.0934, 8.0934 Å; angles 28.53, 28.53, 28.53 degrees
Positions (direct):
Sr 0.0000 0.0000 0.0000
Rh 0.5000 0.5000 0.5000
Cl 0.1185 0.1185 0.1185
Cl 0.8815 0.8815 0.8815

No. 5
Tl4Rh | SCAN | PBEsol geometry

ΔE to the lowest computed polymorph   0.0234 eV per atom
Space-group type   I4/mmm (139)
M_tot   0.0 Bohr magnetons per cell
Energy relative to the elements   0.104 eV per atom
Final energy   -322.68 eV/f.u.

Cell lengths 11.3051, 11.3051, 11.3051 Å; angles 163.42, 163.42, 23.53 degrees
Positions (direct):
Tl 0.0762 0.0762 0.0000
Tl 0.3098 0.3098 0.0000
Tl 0.6902 0.6902 0.0000
Tl 0.9238 0.9238 0.0000
Rh 0.5000 0.5000 0.0000

No. 6
LaPAu | SCAN | PBEsol geometry

Space-group type   P-6m2 (187)
M_tot   0.0 Bohr magnetons per cell
Energy relative to the elements   -1.231 eV per atom
Final energy   -126.35 eV/f.u.

Cell lengths 4.2414, 4.2414, 4.1555 Å; angles 90.00, 90.00, 120.00 degrees
Positions (direct):
La 0.0000 0.0000 0.0000
P 0.3333 0.6667 0.5000
Au 0.6667 0.3333 0.5000

No. 7
LaTe2IBr | SCAN | PBEsol geometry

Space-group type   P4/mmm (123)
M_tot   0.2 Bohr magnetons per cell
Formation energy (no corrections)   -0.194 eV/atom
Final energy   -174.78 eV/f.u.

Cell lengths 5.6051, 5.6051, 5.4996 Å; angles 90.00, 90.00, 90.00 degrees
Positions (direct):
La 0.0000 0.0000 0.0000
Te 0.0000 0.5000 0.5000
Te 0.5000 0.0000 0.5000
I 0.5000 0.5000 0.0000
Br 0.5000 0.5000 0.5000

No. 8
PrSm | SCAN | PBEsol geometry

Space-group type   P-6m2 (187)
M_tot   0.0 Bohr magnetons per cell
Energy relative to the elements   0.033 eV per atom
Final energy   -87.70 eV/f.u.

Cell lengths 3.6008, 3.6008, 5.8473 Å; angles 90.00, 90.00, 120.00 degrees
Positions (direct):
Pr 0.0000 0.0000 0.0000
Sm 0.3333 0.6667 0.5000

Q: Among the records above, which one has the highest final energy?
A: RbNa3Pd

Q: What is the M_tot in the second record?
A: 0.0 Bohr magnetons per cell

Q: Which value of M_tot does entry 1 give?
A: 0.0 Bohr magnetons per cell